Here is crystalline Ca2CeYBi4 at its relaxed geometry from Alexandria via LeMat-Bulk. Energies are from GGA-PBE.

Geometry as POSCAR:
```
Ca2CeYBi4
1.0
-0.583 3.176 -3.275
-6.745 2.314 3.444
6.058 4.135 2.932
Y Bi Ca Ce
1 4 2 1
Cartesian
-3.664 2.745 0.084
2.894 3.734 3.106
-3.581 2.715 3.270
-0.761 6.477 3.186
-0.509 3.148 -0.086
2.738 3.656 -0.172
-0.343 3.225 3.188
0.000 0.000 0.000
```

## Properties
Symmetry: P2/m
Formation enthalpy at 0 K, eV/atom: -0.765
DFT total energy, eV/atom: -4.755